No. 1
# HoEr2Tl4 | the Alexandria database | PBE | optimized geometry
data_HoEr2Tl4
_space_group_name_H-M_alt 'P 1 m 1'
_space_group_IT_number 6
_space_group_name_Hall 'P -2y'
_cell_length_a 5.922
_cell_length_b 3.468
_cell_length_c 10.421
_cell_angle_alpha 90.00
_cell_angle_beta 102.72
_cell_angle_gamma 90.00
loop_
_atom_site_label
_atom_site_type_symbol
_atom_site_fract_x
_atom_site_fract_y
_atom_site_fract_z
_atom_site_occupancy
Ho1 Ho 0.000 0.000 0.000 1
Er1 Er 0.281 0.500 0.589 1
Er2 Er 0.715 0.500 0.412 1
Tl1 Tl 0.155 0.500 0.277 1
Tl2 Tl 0.430 0.000 0.850 1
Tl3 Tl 0.570 0.000 0.150 1
Tl4 Tl 0.842 0.500 0.723 1
# Energy ... -3.300 eV/atom
# Offset from the most stable computed form ... 5.10 kcal/mol of atoms
# Magnetization ... 0.00 μB/cell



No. 2
# CaLa2Ag | the Alexandria database | PBE | optimized geometry
data_CaLa2Ag
_space_group_name_H-M_alt 'P m m m'
_space_group_IT_number 47
_space_group_name_Hall '-P 2 2'
_cell_length_a 3.918
_cell_length_b 5.545
_cell_length_c 5.802
_cell_angle_alpha 90.00
_cell_angle_beta 90.00
_cell_angle_gamma 90.00
loop_
_atom_site_label
_atom_site_type_symbol
_atom_site_fract_x
_atom_site_fract_y
_atom_site_fract_z
_atom_site_occupancy
Ca1 Ca 0.000 0.000 0.000 1
La1 La 0.000 0.500 0.500 1
La2 La 0.500 0.000 0.500 1
Ag1 Ag 0.500 0.500 0.000 1
# Energy ... -3.658 eV/atom
# Offset from the most stable computed form ... 2.56 kcal/mol of atoms
# Magnetization ... 0.00 μB/cell



No. 3
# Na5CaBr7 | the Alexandria database | PBE | optimized geometry
data_Na5CaBr7
_space_group_name_H-M_alt 'C 1 m 1'
_space_group_IT_number 8
_space_group_name_Hall 'C -2y'
_cell_length_a 14.202
_cell_length_b 4.148
_cell_length_c 25.159
_cell_angle_alpha 90.00
_cell_angle_beta 90.01
_cell_angle_gamma 90.00
loop_
_atom_site_label
_atom_site_type_symbol
_atom_site_fract_x
_atom_site_fract_y
_atom_site_fract_z
_atom_site_occupancy
Na1 Na 0.000 0.000 0.000 1
Na2 Na 0.000 0.000 0.211 1
Na3 Na 0.039 0.500 0.855 1
Na4 Na 0.040 0.500 0.356 1
Na5 Na 0.079 0.000 0.500 1
Na6 Na 0.079 0.000 0.711 1
Na7 Na 0.262 0.000 0.926 1
Na8 Na 0.263 0.000 0.285 1
Na9 Na 0.316 0.500 0.785 1
Na10 Na 0.317 0.500 0.426 1
Ca1 Ca 0.253 0.500 0.105 1
Ca2 Ca 0.327 0.000 0.606 1
Br1 Br 0.106 0.000 0.105 1
Br2 Br 0.129 0.500 0.964 1
Br3 Br 0.130 0.500 0.247 1
Br4 Br 0.176 0.000 0.818 1
Br5 Br 0.177 0.000 0.394 1
Br6 Br 0.231 0.500 0.535 1
Br7 Br 0.231 0.500 0.676 1
Br8 Br 0.348 0.000 0.034 1
Br9 Br 0.349 0.000 0.176 1
Br10 Br 0.403 0.500 0.318 1
Br11 Br 0.403 0.500 0.893 1
Br12 Br 0.449 0.000 0.747 1
Br13 Br 0.450 0.000 0.464 1
Br14 Br 0.474 0.500 0.606 1
# Formation energy (no corrections) ... -1.66 eV per atom
# Energy ... -3.226 eV/atom
# Magnetization ... 0.00 μB/cell



No. 4
# YScTl4 | the Alexandria database | PBE | optimized geometry
data_YScTl4
_space_group_name_H-M_alt 'F -4 3 m'
_space_group_IT_number 216
_space_group_name_Hall 'F -4 2 3'
_cell_length_a 8.707
_cell_length_b 8.707
_cell_length_c 8.707
_cell_angle_alpha 90.00
_cell_angle_beta 90.00
_cell_angle_gamma 90.00
loop_
_atom_site_label
_atom_site_type_symbol
_atom_site_fract_x
_atom_site_fract_y
_atom_site_fract_z
_atom_site_occupancy
Y1 Y 0.000 0.000 0.000 1
Sc1 Sc 0.250 0.250 0.750 1
Tl1 Tl 0.125 0.125 0.375 1
# Energy ... -3.646 eV/atom
# Magnetization ... 0.00 μB/cell



No. 5
# CeHoZnCd | the Alexandria database | PBE | optimized geometry
data_CeHoZnCd
_space_group_name_H-M_alt 'P 4 m m'
_space_group_IT_number 99
_space_group_name_Hall 'P 4 -2'
_cell_length_a 3.551
_cell_length_b 3.551
_cell_length_c 7.888
_cell_angle_alpha 90.00
_cell_angle_beta 90.00
_cell_angle_gamma 90.00
loop_
_atom_site_label
_atom_site_type_symbol
_atom_site_fract_x
_atom_site_fract_y
_atom_site_fract_z
_atom_site_occupancy
Ce1 Ce 0.000 0.000 0.000 1
Ho1 Ho 0.000 0.000 0.459 1
Zn1 Zn 0.500 0.500 0.245 1
Cd1 Cd 0.500 0.500 0.714 1
# Energy ... -3.415 eV/atom
# Offset from the most stable computed form ... 0.00 kcal/mol of atoms
# Magnetization ... 1.08 μB/cell



No. 6
# Y4MgHg5 | the Alexandria database | PBE | optimized geometry
data_Y4MgHg5
_space_group_name_H-M_alt 'P 4/m m m'
_space_group_IT_number 123
_space_group_name_Hall '-P 4 2'
_cell_length_a 3.690
_cell_length_b 3.690
_cell_length_c 18.338
_cell_angle_alpha 90.00
_cell_angle_beta 90.00
_cell_angle_gamma 90.00
loop_
_atom_site_label
_atom_site_type_symbol
_atom_site_fract_x
_atom_site_fract_y
_atom_site_fract_z
_atom_site_occupancy
Y1 Y 0.000 0.000 0.103 1
Y2 Y 0.000 0.000 0.308 1
Mg1 Mg 0.000 0.000 0.500 1
Hg1 Hg 0.500 0.500 0.000 1
Hg2 Hg 0.500 0.500 0.204 1
Hg3 Hg 0.500 0.500 0.409 1
# Energy ... -3.358 eV/atom
# Magnetization ... 0.00 μB/cell



No. 7
# PmMn4B4 | the Alexandria database | PBE | optimized geometry
data_PmMn4B4
_space_group_name_H-M_alt 'P 42/n'
_space_group_IT_number 86
_cell_length_a 7.104
_cell_length_b 7.104
_cell_length_c 3.918
_cell_angle_alpha 90.00
_cell_angle_beta 90.00
_cell_angle_gamma 90.00
loop_
_space_group_symop_operation_xyz
'x,y,z'
'-x,-y,-z'
'-y,x+1/2,z+1/2'
'y,-x+1/2,-z+1/2'
'-x+1/2,-y+1/2,z'
'x+1/2,y+1/2,-z'
'y+1/2,-x,z+1/2'
'-y+1/2,x,-z+1/2'
loop_
_atom_site_label
_atom_site_type_symbol
_atom_site_fract_x
_atom_site_fract_y
_atom_site_fract_z
_atom_site_occupancy
Pm1 Pm 0.250 0.250 0.250 1
Mn1 Mn 0.122 0.634 0.134 1
B1 B 0.055 0.920 0.137 1
# Energy ... -7.986 eV/atom
# Magnetization ... 9.46 μB/cell



No. 8
# LiY3Te8Pb3 | the Alexandria database | PBE | optimized geometry
data_LiY3Te8Pb3
_space_group_name_H-M_alt 'R -3 m'
_space_group_IT_number 166
_space_group_name_Hall '-R 3 2"'
_cell_length_a 8.8588
_cell_length_b 8.8588
_cell_length_c 22.5443
_cell_angle_alpha 90.00
_cell_angle_beta 90.00
_cell_angle_gamma 120.00
loop_
_atom_site_label
_atom_site_type_symbol
_atom_site_fract_x
_atom_site_fract_y
_atom_site_fract_z
_atom_site_occupancy
Li1 Li 0.0000 0.0000 0.0000 1
Y1 Y 0.0000 0.5000 0.0000 1
Te1 Te 0.0000 0.0000 0.2545 1
Te2 Te 0.9998 0.4999 0.2571 1
Pb1 Pb 0.0000 0.5000 0.5000 1
# Formation energy (no corrections) ... -0.89 eV per atom
# Energy ... -4.729 eV/atom
# Magnetization ... 0.00 μB/cell



No. 9
# TeOs2Pt | the Alexandria database | PBE | optimized geometry
data_TeOs2Pt
_space_group_name_H-M_alt 'C m m 2'
_space_group_IT_number 35
_space_group_name_Hall 'C 2 -2'
_cell_length_a 2.839
_cell_length_b 5.036
_cell_length_c 9.778
_cell_angle_alpha 90.00
_cell_angle_beta 90.00
_cell_angle_gamma 90.00
loop_
_atom_site_label
_atom_site_type_symbol
_atom_site_fract_x
_atom_site_fract_y
_atom_site_fract_z
_atom_site_occupancy
Te1 Te 0.000 0.000 0.000 1
Os1 Os 0.000 0.000 0.519 1
Os2 Os 0.000 0.500 0.736 1
Pt1 Pt 0.000 0.500 0.276 1
# Formation energy (no corrections) ... 0.83 eV per atom
# Energy ... -7.085 eV/atom
# Magnetization ... 0.28 μB/cell



No. 10
# NdHo2ErSc | the Alexandria database | PBE | optimized geometry
data_NdHo2ErSc
_space_group_name_H-M_alt 'C m c m'
_space_group_IT_number 63
_space_group_name_Hall '-C 2c 2'
_cell_length_a 8.168
_cell_length_b 11.216
_cell_length_c 7.080
_cell_angle_alpha 90.00
_cell_angle_beta 90.00
_cell_angle_gamma 90.00
loop_
_atom_site_label
_atom_site_type_symbol
_atom_site_fract_x
_atom_site_fract_y
_atom_site_fract_z
_atom_site_occupancy
Nd1 Nd 0.000 0.231 0.250 1
Ho1 Ho 0.197 0.000 0.000 1
Er1 Er 0.000 0.232 0.750 1
Sc1 Sc 0.000 0.496 0.250 1
# Energy ... -4.628 eV/atom
# Magnetization ... 0.00 μB/cell



No. 11
# YCuP2 | the Alexandria database | PBE | optimized geometry
data_YCuP2
_space_group_name_H-M_alt 'P 63/m m c'
_space_group_IT_number 194
_space_group_name_Hall '-P 6c 2c'
_cell_length_a 3.9552
_cell_length_b 3.9552
_cell_length_c 15.1214
_cell_angle_alpha 90.00
_cell_angle_beta 90.00
_cell_angle_gamma 120.00
loop_
_atom_site_label
_atom_site_type_symbol
_atom_site_fract_x
_atom_site_fract_y
_atom_site_fract_z
_atom_site_occupancy
Y1 Y 0.0000 0.0000 0.0000 1
Cu1 Cu 0.3333 0.6667 0.2500 1
P1 P 0.3333 0.6667 0.1076 1
# Energy ... -5.477 eV/atom
# Magnetization ... 0.00 μB/cell



No. 12
# Nd2PtRh2 | the Alexandria database | PBE | optimized geometry
data_Nd2PtRh2
_space_group_name_H-M_alt 'I m m m'
_space_group_IT_number 71
_space_group_name_Hall '-I 2 2'
_cell_length_a 4.590
_cell_length_b 5.571
_cell_length_c 8.348
_cell_angle_alpha 90.00
_cell_angle_beta 90.00
_cell_angle_gamma 90.00
loop_
_atom_site_label
_atom_site_type_symbol
_atom_site_fract_x
_atom_site_fract_y
_atom_site_fract_z
_atom_site_occupancy
Nd1 Nd 0.000 0.000 0.202 1
Pt1 Pt 0.000 0.500 0.000 1
Rh1 Rh 0.000 0.257 0.500 1
# Energy ... -6.849 eV/atom
# Magnetization ... 0.00 μB/cell